This record from Alexandria via LeMat-Bulk describes a relaxed UFeNiRu crystal. The functional is GGA-PBE.

The space group is No. 47. The total energy comes out at -8.96 eV/atom. The calculated density is 12.9 g/cm3. The calculation puts the formation energy at -262 meV/atom. The value obtained for the offset from the most stable computed form is 0.0 kJ/mol of formula units.

a b c (Å): 3.7605 3.9342 3.9388
angles (deg): 90.00 90.00 90.00
With the nearest neighbours (Å) after each atom.
Atoms (fractional coordinates):
U  0.0000  0.0000  0.0000  4 Fe 2.72, 4 Ru 2.72, 4 Ni 2.78
Fe  0.5000  0.5000  0.0000  4 U 2.72, 4 Ni 2.72, 4 Ru 2.78
Ni  0.0000  0.5000  0.5000  4 Ru 2.72, 4 Fe 2.72, 4 U 2.78
Ru  0.5000  0.0000  0.5000  4 Ni 2.72, 4 U 2.72, 4 Fe 2.78